## In2P2Pt (PBE)

Data for In2P2Pt after structural relaxation.

Cell: 6.891 6.891 4.306 Å, 90.00 90.00 90.00°
Positions (direct):
In 0.149 0.351 0.000
In 0.351 0.851 0.000
In 0.649 0.149 0.000
In 0.851 0.649 0.000
P 0.189 0.689 0.500
P 0.311 0.189 0.500
P 0.689 0.811 0.500
P 0.811 0.311 0.500
Pt 0.000 0.000 0.500
Pt 0.500 0.500 0.500

Values from the calculation:
As for the final energy: -4.37 eV/atom. As for the symmetry: P4/mbm.